[1]
VASP calculation (PBE) on a relaxed Nd3Sb crystal.

Calculated values
Uncorrected formation energy, eV per atom: -0.4910
Size of the total moment, μB/f.u.: 0.00
Symmetry: Imm2, No. 44
V, Å³/cell: 126.26
Total energy, eV per atom: -5.097
Calculated density, g/cm³: 7.3

Cell: 4.062 5.593 6.545 Å, 115.30 108.08 90.00°
Positions (direct):
Nd 0.721 0.076 0.441
Sb 0.000 0.996 0.000
Nd 0.279 0.634 0.559
Nd 0.500 0.460 0.000



[2]
VASP calculation (PBE) on a relaxed KSnAs2 crystal.

Calculated values
Size of the total moment, μB/f.u.: 0.00
Symmetry: I-42d, No. 122
V, Å³/cell: 245.19
Total energy, eV per atom: -3.705
Calculated density, g/cm³: 4.2

Cell: 7.958 7.958 6.830 Å, 54.37 54.37 90.00°
Positions (direct):
As 0.059 0.625 0.250
K 0.250 0.750 0.500
Sn 0.000 0.000 0.000
As 0.875 0.941 0.750
K 0.500 0.500 0.000
Sn 0.750 0.250 0.500
As 0.375 0.309 0.750
As 0.691 0.125 0.250



[3]
VASP calculation (PBE) on a relaxed ZrAgRu crystal.

Calculated values
Size of the total moment, μB/f.u.: 0.00
Symmetry: F-43m, No. 216
V, Å³/cell: 62.63
Total energy, eV per atom: -6.563
Calculated density, g/cm³: 8.0

Cell: 4.458 4.458 4.458 Å, 60.00 60.00 60.00°
Positions (direct):
Ru 0.750 0.750 0.750
Ag 0.500 0.500 0.500
Zr 0.000 0.000 0.000



[4]
VASP calculation (PBE) on a relaxed Ti6GaSb crystal.

Calculated values
Uncorrected formation energy, eV per atom: 0.0388
Size of the total moment, μB/f.u.: 0.00
Symmetry: C2/m, No. 12
V, Å³/cell: 153.14
Total energy, eV per atom: -6.776
Calculated density, g/cm³: 5.2

Cell: 4.797 4.797 7.298 Å, 78.22 78.22 70.30°
Positions (direct):
Ti 0.052 0.543 0.289
Ti 0.373 0.373 0.930
Ti 0.543 0.052 0.289
Sb 0.500 0.500 0.500
Ti 0.457 0.948 0.711
Ti 0.627 0.627 0.070
Ti 0.948 0.457 0.711
Ga 0.000 0.000 0.000



[5]
VASP calculation (PBE) on a relaxed CeCd5Hg6 crystal.

Calculated values
Size of the total moment, μB/f.u.: 0.97
Symmetry: C2/m, No. 12
V, Å³/cell: 296.79
Total energy, eV per atom: -1.117
Calculated density, g/cm³: 10.7

Cell: 4.884 9.196 9.196 Å, 121.09 105.52 105.52°
Positions (direct):
Hg 0.271 0.430 0.110
Hg 0.729 0.890 0.570
Hg 0.225 0.726 0.726
Cd 0.000 0.696 0.304
Ce 0.000 0.000 0.000
Cd 0.500 0.841 0.159
Hg 0.775 0.274 0.274
Cd 0.000 0.304 0.696
Hg 0.729 0.570 0.890
Hg 0.271 0.110 0.430
Cd 0.500 0.159 0.841
Cd 0.500 0.500 0.500



[6]
VASP calculation (PBE) on a relaxed Ac3PrRh crystal.

Calculated values
Size of the total moment, μB/f.u.: 1.39
Symmetry: Pm-3m, No. 221
V, Å³/cell: 201.75
Total energy, eV per atom: -5.087
Calculated density, g/cm³: 7.6

Cell: 5.865 5.865 5.865 Å, 90.00 90.00 90.00°
Positions (direct):
Ac 0.000 0.000 0.500
Ac 0.000 0.500 0.000
Pr 0.500 0.500 0.500
Rh 0.000 0.000 0.000
Ac 0.500 0.000 0.000



[7]
VASP calculation (PBE) on a relaxed Ac2BiSe crystal.

Calculated values
Uncorrected formation energy, eV per atom: -1.1770
Size of the total moment, μB/f.u.: 0.01
Symmetry: P4/mmm, No. 123
V, Å³/cell: 130.57
Total energy, eV per atom: -5.073
Calculated density, g/cm³: 9.4

Cell: 4.027 4.027 8.052 Å, 90.00 90.00 90.00°
Positions (direct):
Ac 0.000 0.000 0.245
Bi 0.500 0.500 0.500
Se 0.500 0.500 0.000
Ac 0.000 0.000 0.755



[8]
VASP calculation (PBE) on a relaxed AlTcRu2 crystal.

Calculated values
Size of the total moment, μB/f.u.: 0.00
Symmetry: I-4m2, No. 119
V, Å³/cell: 56.59
Total energy, eV per atom: -8.307
Calculated density, g/cm³: 9.6

Cell: 4.876 4.876 4.876 Å, 135.27 135.27 65.12°
Positions (direct):
Ru 0.000 0.000 0.000
Tc 0.500 0.500 0.000
Al 0.750 0.250 0.500
Ru 0.250 0.750 0.500